Model 1:
{"formula": "TbYInRu", "functional": "GGA-PBE", "state": "relaxed", "space_group": "P4mm (99)", "crystal_system": "tetragonal", "lattice_angstrom": [[3.486, 0.000, 0.000], [0.000, 3.486, 0.000], [0.000, 0.000, 7.738]], "species": ["Tb", "Y", "In", "Ru"], "frac_coords": [[0.000, 0.000, 0.000], [0.000, 0.000, 0.572], [0.500, 0.500, 0.287], [0.500, 0.500, 0.787]]}


Model 2:
{"formula": "TbYInRu", "functional": "GGA-PBE", "state": "relaxed", "space_group": "F-43m (216)", "crystal_system": "cubic", "lattice_angstrom": [[0.000, 3.591, 3.591], [3.591, 0.000, 3.591], [3.591, 3.591, 0.000]], "species": ["Tb", "Y", "In", "Ru"], "frac_coords": [[0.000, 0.000, 0.000], [0.500, 0.500, 0.500], [0.750, 0.750, 0.750], [0.250, 0.250, 0.250]]}


Which structure is the most stable? The one labeled model 1.


Model 1:
{"formula": "In2TcRu", "functional": "GGA-PBE", "state": "relaxed", "space_group": "Cm (8)", "crystal_system": "monoclinic", "lattice_angstrom": [[5.148, -1.493, 0.000], [5.148, 1.493, 0.000], [-1.687, 0.000, 4.576]], "species": ["In", "In", "Tc", "Ru"], "frac_coords": [[0.000, 0.000, 0.000], [0.216, 0.216, 0.618], [0.460, 0.460, 0.482], [0.754, 0.754, 0.133]]}


Model 2:
{"formula": "In2TcRu", "functional": "GGA-PBE", "state": "relaxed", "space_group": "C2/m (12)", "crystal_system": "monoclinic", "lattice_angstrom": [[4.461, -1.498, 0.000], [4.461, 1.498, 0.000], [-0.983, 0.000, 5.261]], "species": ["In", "In", "Tc", "Ru"], "frac_coords": [[0.248, 0.248, 0.246], [0.752, 0.752, 0.754], [0.000, 0.000, 0.500], [0.500, 0.500, 0.000]]}


Which structure is the most stable? The one labeled model 1.


Model 1:
{"formula": "In2TcRu", "functional": "GGA-PBE", "state": "relaxed", "space_group": "P4/mmm (123)", "crystal_system": "tetragonal", "lattice_angstrom": [[4.624, 0.000, 0.000], [0.000, 4.624, 0.000], [0.000, 0.000, 3.223]], "species": ["In", "In", "Tc", "Ru"], "frac_coords": [[0.000, 0.500, 0.000], [0.500, 0.000, 0.000], [0.000, 0.000, 0.500], [0.500, 0.500, 0.500]]}


Model 2:
{"formula": "In2TcRu", "functional": "GGA-PBE", "state": "relaxed", "space_group": "Fm-3m (225)", "crystal_system": "cubic", "lattice_angstrom": [[0.000, 3.254, 3.254], [3.254, 0.000, 3.254], [3.254, 3.254, 0.000]], "species": ["In", "In", "Tc", "Ru"], "frac_coords": [[0.250, 0.250, 0.250], [0.750, 0.750, 0.750], [0.000, 0.000, 0.000], [0.500, 0.500, 0.500]]}


Model 3:
{"formula": "In2TcRu", "functional": "GGA-PBE", "state": "relaxed", "space_group": "Cmmm (65)", "crystal_system": "orthorhombic", "lattice_angstrom": [[1.604, -2.479, 0.000], [1.604, 2.479, 0.000], [0.000, 0.000, 8.898]], "species": ["In", "In", "Tc", "Ru"], "frac_coords": [[0.000, 0.000, 0.246], [0.000, 0.000, 0.754], [0.500, 0.500, 0.500], [0.500, 0.500, 0.000]]}


Model 4:
{"formula": "In2TcRu", "functional": "GGA-PBE", "state": "relaxed", "space_group": "I-42d (122)", "crystal_system": "tetragonal", "lattice_angstrom": [[-3.701, 3.701, 2.828], [3.701, -3.701, 2.828], [3.701, 3.701, -2.828]], "species": ["In", "In", "In", "In", "Tc", "Tc", "Ru", "Ru"], "frac_coords": [[0.117, 0.125, 0.492], [0.375, 0.883, 0.008], [0.633, 0.625, 0.508], [0.875, 0.367, 0.992], [0.250, 0.750, 0.500], [0.500, 0.500, 0.000], [0.000, 0.000, 0.000], [0.750, 0.250, 0.500]]}


Which structure is the most stable? The one labeled model 1.


Model 1:
{"formula": "In2TcRu", "functional": "GGA-PBE", "state": "relaxed", "space_group": "P2/m (10)", "crystal_system": "monoclinic", "lattice_angstrom": [[2.955, 0.000, 0.000], [0.000, 4.440, 0.000], [-0.498, 0.000, 5.397]], "species": ["In", "In", "Tc", "Ru"], "frac_coords": [[0.236, 0.000, 0.252], [0.764, 0.000, 0.748], [0.500, 0.500, 0.000], [0.000, 0.500, 0.500]]}


Model 2:
{"formula": "In2TcRu", "functional": "GGA-PBE", "state": "relaxed", "space_group": "P4mm (99)", "crystal_system": "tetragonal", "lattice_angstrom": [[2.961, 0.000, 0.000], [0.000, 2.961, 0.000], [0.000, 0.000, 8.502]], "species": ["In", "In", "Tc", "Ru"], "frac_coords": [[0.000, 0.000, 0.000], [0.500, 0.500, 0.339], [0.500, 0.500, 0.758], [0.000, 0.000, 0.576]]}


Model 3:
{"formula": "In2TcRu", "functional": "GGA-PBE", "state": "relaxed", "space_group": "R-3m (166)", "crystal_system": "trigonal", "lattice_angstrom": [[1.522, 0.879, 8.774], [-1.522, 0.879, 8.774], [0.000, -1.757, 8.774]], "species": ["In", "In", "Tc", "Ru"], "frac_coords": [[0.249, 0.249, 0.249], [0.751, 0.751, 0.751], [0.000, 0.000, 0.000], [0.500, 0.500, 0.500]]}


Model 4:
{"formula": "In2TcRu", "functional": "GGA-PBE", "state": "relaxed", "space_group": "Pmmm (47)", "crystal_system": "orthorhombic", "lattice_angstrom": [[3.165, 0.000, 0.000], [0.000, 4.490, 0.000], [0.000, 0.000, 5.015]], "species": ["In", "In", "Tc", "Ru"], "frac_coords": [[0.000, 0.000, 0.000], [0.500, 0.000, 0.500], [0.000, 0.500, 0.500], [0.500, 0.500, 0.000]]}


Which structure is the most stable? The one labeled model 2.


Model 1:
{"formula": "Th4InRu", "functional": "GGA-PBE", "state": "relaxed", "space_group": "C2/c (15)", "crystal_system": "monoclinic", "lattice_angstrom": [[4.419, -6.713, 0.000], [4.419, 6.713, 0.000], [-2.094, 0.000, 5.758]], "species": ["Th", "Th", "Th", "Th", "Th", "Th", "Th", "Th", "In", "In", "Ru", "Ru"], "frac_coords": [[0.062, 0.707, 0.938], [0.202, 0.375, 0.642], [0.293, 0.938, 0.562], [0.375, 0.202, 0.142], [0.625, 0.798, 0.858], [0.707, 0.062, 0.438], [0.798, 0.625, 0.358], [0.938, 0.293, 0.062], [0.383, 0.617, 0.250], [0.617, 0.383, 0.750], [0.001, 0.999, 0.250], [0.999, 0.001, 0.750]]}


Model 2:
{"formula": "Th4InRu", "functional": "GGA-PBE", "state": "relaxed", "space_group": "F-43m (216)", "crystal_system": "cubic", "lattice_angstrom": [[0.000, 7.000, 7.000], [7.000, 0.000, 7.000], [7.000, 7.000, 0.000]], "species": ["Th", "Th", "Th", "Th", "Th", "Th", "Th", "Th", "Th", "Th", "Th", "Th", "Th", "Th", "Th", "Th", "In", "In", "In", "In", "Ru", "Ru", "Ru", "Ru"], "frac_coords": [[0.185, 0.185, 0.815], [0.185, 0.815, 0.185], [0.185, 0.815, 0.815], [0.403, 0.403, 0.403], [0.403, 0.403, 0.790], [0.403, 0.790, 0.403], [0.554, 0.554, 0.946], [0.554, 0.946, 0.554], [0.554, 0.946, 0.946], [0.790, 0.403, 0.403], [0.815, 0.185, 0.185], [0.815, 0.185, 0.815], [0.815, 0.815, 0.185], [0.946, 0.554, 0.554], [0.946, 0.554, 0.946], [0.946, 0.946, 0.554], [0.170, 0.170, 0.170], [0.170, 0.170, 0.491], [0.170, 0.491, 0.170], [0.491, 0.170, 0.170], [0.167, 0.611, 0.611], [0.611, 0.167, 0.611], [0.611, 0.611, 0.167], [0.611, 0.611, 0.611]]}


Which structure is the most stable? The one labeled model 2.


Model 1:
{"formula": "TlIn2Ru", "functional": "GGA-PBE", "state": "relaxed", "space_group": "C2/m (12)", "crystal_system": "monoclinic", "lattice_angstrom": [[2.933, -4.227, 0.000], [2.933, 4.227, 0.000], [-0.019, 0.000, 3.387]], "species": ["Tl", "In", "In", "Ru"], "frac_coords": [[0.000, 0.000, 0.000], [0.000, 0.500, 0.500], [0.500, 0.000, 0.500], [0.500, 0.500, 0.000]]}


Model 2:
{"formula": "TlIn2Ru", "functional": "GGA-PBE", "state": "relaxed", "space_group": "Imm2 (44)", "crystal_system": "orthorhombic", "lattice_angstrom": [[-1.551, 2.263, 6.788], [1.551, -2.263, 6.788], [1.551, 2.263, -6.788]], "species": ["Tl", "In", "In", "Ru"], "frac_coords": [[0.000, 0.000, 0.000], [0.318, 0.818, 0.500], [0.643, 0.643, 0.000], [0.812, 0.312, 0.500]]}


Model 3:
{"formula": "TlIn2Ru", "functional": "GGA-PBE", "state": "relaxed", "space_group": "I-4m2 (119)", "crystal_system": "tetragonal", "lattice_angstrom": [[-2.155, 2.155, 4.449], [2.155, -2.155, 4.449], [2.155, 2.155, -4.449]], "species": ["Tl", "In", "In", "Ru"], "frac_coords": [[0.000, 0.000, 0.000], [0.250, 0.750, 0.500], [0.500, 0.500, 0.000], [0.750, 0.250, 0.500]]}


Model 4:
{"formula": "TlIn2Ru", "functional": "GGA-PBE", "state": "relaxed", "space_group": "Pm (6)", "crystal_system": "monoclinic", "lattice_angstrom": [[3.630, 0.000, 0.000], [0.000, 4.448, 0.000], [-1.812, 0.000, 5.427]], "species": ["Tl", "In", "In", "Ru"], "frac_coords": [[0.000, 0.000, 0.000], [0.274, 0.000, 0.550], [0.683, 0.500, 0.368], [0.420, 0.500, 0.839]]}


Which structure is the most stable? The one labeled model 2.


Model 1:
{"formula": "TlInRu", "functional": "GGA-PBE", "state": "relaxed", "space_group": "F-43m (216)", "crystal_system": "cubic", "lattice_angstrom": [[0.000, 3.229, 3.229], [3.229, 0.000, 3.229], [3.229, 3.229, 0.000]], "species": ["Tl", "In", "Ru"], "frac_coords": [[0.000, 0.000, 0.000], [0.500, 0.500, 0.500], [0.750, 0.750, 0.750]]}


Model 2:
{"formula": "TlInRu", "functional": "GGA-PBE", "state": "relaxed", "space_group": "P3m1 (156)", "crystal_system": "trigonal", "lattice_angstrom": [[4.615, 0.000, 0.000], [-2.307, 3.997, 0.000], [0.000, 0.000, 3.409]], "species": ["Tl", "In", "Ru"], "frac_coords": [[0.000, 0.000, 0.000], [0.667, 0.333, 0.507], [0.333, 0.667, 0.480]]}


Model 3:
{"formula": "TlInRu", "functional": "GGA-PBE", "state": "relaxed", "space_group": "P3m1 (156)", "crystal_system": "trigonal", "lattice_angstrom": [[3.244, 0.000, 0.000], [-1.622, 2.810, 0.000], [0.000, 0.000, 6.947]], "species": ["Tl", "In", "Ru"], "frac_coords": [[0.000, 0.000, 0.000], [0.667, 0.333, 0.401], [0.333, 0.667, 0.689]]}


Which structure is the most stable? The one labeled model 1.


Model 1:
{"formula": "TmIn3Ru", "functional": "GGA-PBE", "state": "relaxed", "space_group": "Pm-3m (221)", "crystal_system": "cubic", "lattice_angstrom": [[6.836, 0.000, 0.000], [0.000, 6.836, 0.000], [0.000, 0.000, 6.836]], "species": ["Tm", "Tm", "Tm", "In", "In", "In", "In", "In", "In", "In", "In", "In", "Ru", "Ru", "Ru"], "frac_coords": [[0.000, 0.000, 0.500], [0.000, 0.500, 0.000], [0.500, 0.000, 0.000], [0.000, 0.000, 0.000], [0.279, 0.279, 0.279], [0.279, 0.279, 0.721], [0.279, 0.721, 0.279], [0.279, 0.721, 0.721], [0.721, 0.279, 0.279], [0.721, 0.279, 0.721], [0.721, 0.721, 0.279], [0.721, 0.721, 0.721], [0.000, 0.500, 0.500], [0.500, 0.000, 0.500], [0.500, 0.500, 0.000]]}


Model 2:
{"formula": "TmIn3Ru", "functional": "GGA-PBE", "state": "relaxed", "space_group": "R3c (161)", "crystal_system": "trigonal", "lattice_angstrom": [[3.854, 2.225, 4.916], [-3.854, 2.225, 4.916], [0.000, -4.451, 4.916]], "species": ["Tm", "Tm", "In", "In", "In", "In", "In", "In", "Ru", "Ru"], "frac_coords": [[0.000, 0.000, 0.000], [0.500, 0.500, 0.500], [0.117, 0.987, 0.481], [0.481, 0.117, 0.987], [0.487, 0.617, 0.981], [0.617, 0.981, 0.487], [0.981, 0.487, 0.617], [0.987, 0.481, 0.117], [0.322, 0.322, 0.322], [0.822, 0.822, 0.822]]}


Which structure is the most stable? The one labeled model 1.


Model 1:
{"formula": "Tm3InRu", "functional": "GGA-PBE", "state": "relaxed", "space_group": "Fmmm (69)", "crystal_system": "orthorhombic", "lattice_angstrom": [[0.000, 4.726, 8.074], [3.241, 0.000, 8.074], [3.241, 4.726, 0.000]], "species": ["Tm", "Tm", "Tm", "Tm", "Tm", "Tm", "In", "In", "Ru", "Ru"], "frac_coords": [[0.199, 0.576, 0.424], [0.200, 0.200, 0.800], [0.424, 0.801, 0.199], [0.576, 0.199, 0.801], [0.800, 0.800, 0.200], [0.801, 0.424, 0.576], [0.211, 0.789, 0.789], [0.789, 0.211, 0.211], [0.250, 0.250, 0.250], [0.750, 0.750, 0.750]]}


Model 2:
{"formula": "Tm3InRu", "functional": "GGA-PBE", "state": "relaxed", "space_group": "C2/m (12)", "crystal_system": "monoclinic", "lattice_angstrom": [[6.283, -2.619, 0.000], [6.283, 2.619, 0.000], [-3.450, 0.000, 7.699]], "species": ["Tm", "Tm", "Tm", "Tm", "Tm", "Tm", "In", "In", "Ru", "Ru"], "frac_coords": [[0.075, 0.075, 0.237], [0.218, 0.218, 0.728], [0.410, 0.410, 0.123], [0.590, 0.590, 0.877], [0.782, 0.782, 0.272], [0.925, 0.925, 0.763], [0.374, 0.374, 0.500], [0.626, 0.626, 0.500], [0.176, 0.176, 0.019], [0.824, 0.824, 0.981]]}


Which structure is the most stable? The one labeled model 1.